A relaxed structure of Zn2Te2I. Source: Alexandria, functional GGA-PBEsol.

Values from the calculation:
The total magnetic moment comes out at 0.00 μB per cell. For the uncorrected formation energy, the calculation gives 0.100 eV per atom.

Lattice parameters (Å, degrees): 7.076 7.076 7.076 142.98 142.98 53.35
Fractional positions:
Zn: 0.096 0.096 0.000
Zn: 0.904 0.904 0.000
Te: 0.250 0.750 0.500
Te: 0.750 0.250 0.500
I: 0.500 0.500 0.000